The following is a DFT calculation (PBE-GGA) of crystalline USiRu2 at its relaxed geometry.

As for the total energy: -9.181 eV per atom. The calculation puts the uncorrected formation energy at -366 meV/atom.

abc: 4.1863 4.1863 3.6811
angles: 90.00 90.00 90.00
Space group P4/mmm (No. 123)
Unique sites:
U 0.0000 0.0000 0.0000 [1 per cell]
Si 0.5000 0.5000 0.0000 [1 per cell]
Ru 0.0000 0.5000 0.5000 [2 per cell]

---

The following is a DFT calculation (PBE-GGA) of crystalline U4Si3Ru2 at its relaxed geometry.

As for the total energy: -9.133 eV per atom. The calculation puts the uncorrected formation energy at -247 meV/atom.

abc: 5.8984 9.7897 10.9221
angles: 90.00 90.00 90.00
Space group Imma (No. 74)
Unique sites:
U 0.0000 0.0000 0.0000 [4 per cell]
U 0.0000 0.0000 0.5000 [4 per cell]
U 0.2500 0.0075 0.2500 [8 per cell]
Si 0.0000 0.2500 0.1494 [4 per cell]
Si 0.2418 0.2500 0.5713 [8 per cell]
Ru 0.0000 0.2500 0.3821 [4 per cell]
Ru 0.0000 0.2500 0.7551 [4 per cell]

---

The following is a DFT calculation (PBE-GGA) of crystalline U2SiRu at its relaxed geometry.

As for the total energy: -9.404 eV per atom. The calculation puts the uncorrected formation energy at -85 meV/atom.

abc: 2.8657 4.8946 4.9802
angles: 90.00 90.20 90.00
Space group P2/m (No. 10)
Unique sites:
U 0.2352 0.0000 0.2538 [2 per cell]
Si 0.0000 0.5000 0.5000 [1 per cell]
Ru 0.5000 0.5000 0.0000 [1 per cell]

---

The following is a DFT calculation (PBE-GGA) of crystalline U2SiRu3 at its relaxed geometry.

As for the total energy: -9.837 eV per atom. The calculation puts the uncorrected formation energy at -532 meV/atom.

abc: 5.5636 5.5636 11.1891
angles: 90.00 90.00 120.00
Space group R-3m (No. 166, hexagonal axes)
Unique sites:
U 0.0000 0.0000 0.1213 [6 per cell]
Si 0.0000 0.0000 0.5000 [3 per cell]
Ru 0.0000 0.5000 0.0000 [9 per cell]

---

The following is a DFT calculation (PBE-GGA) of crystalline USiRu at its relaxed geometry.

As for the total energy: -9.137 eV per atom. The calculation puts the uncorrected formation energy at -474 meV/atom.

abc: 4.3255 4.3255 3.2122
angles: 90.00 90.00 120.00
Space group P-6m2 (No. 187)
Unique sites:
U 0.0000 0.0000 0.0000 [1 per cell]
Si 0.3333 0.6667 0.5000 [1 per cell]
Ru 0.6667 0.3333 0.5000 [1 per cell]

---

The following is a DFT calculation (PBE-GGA) of crystalline USiRu at its relaxed geometry.

As for the total energy: -9.231 eV per atom. The calculation puts the uncorrected formation energy at -568 meV/atom.

abc: 7.4610 4.1496 6.6054
angles: 90.00 90.00 90.00
Space group Pnma (No. 62)
Unique sites:
U 0.0071 0.2500 0.1470 [4 per cell]
Si 0.1973 0.2500 0.6175 [4 per cell]
Ru 0.1298 0.7500 0.4348 [4 per cell]